Record 1
Crystalline Ni2TeCl at its relaxed geometry. Source: Alexandria via LeMat-Bulk, functional PBE-GGA.

Output
**Energy above the lowest structure with this stoichiometry**: 370 meV per atom
**E_form (uncorrected)**: 0.215 eV/atom
**Total magnetization**: 0.0 Bohr magnetons per cell

a = 3.557 Å, b = 6.153 Å, c = 6.795 Å
α = 90.00°, β = 90.00°, γ = 90.00°
Space group Immm (No. 71)
Asymmetric unit:
1 Ni 0.000 0.000 0.233 [4 per cell]
2 Te 0.000 0.500 0.000 [2 per cell]
3 Cl 0.000 0.500 0.500 [2 per cell]


Record 2
Crystalline Ni4TeCl at its relaxed geometry. Source: Alexandria via LeMat-Bulk, functional PBE-GGA.

Output
**E_form (uncorrected)**: 0.410 eV/atom
**Total magnetization**: 0.0 Bohr magnetons per cell

a = 7.021 Å, b = 7.021 Å, c = 7.021 Å
α = 90.00°, β = 90.00°, γ = 90.00°
Space group F-43m (No. 216)
Asymmetric unit:
1 Ni 0.124 0.124 0.124 [16 per cell]
2 Te 0.250 0.250 0.750 [4 per cell]
3 Cl 0.000 0.000 0.500 [4 per cell]


Record 3
Crystalline Ni2TeCl at its relaxed geometry. Source: Alexandria via LeMat-Bulk, functional PBE-GGA.

Output
**Energy above the lowest structure with this stoichiometry**: 0 meV per atom
**E_form (uncorrected)**: -0.154 eV/atom
**Total magnetization**: 1.1 Bohr magnetons per cell

a = 3.663 Å, b = 3.659 Å, c = 6.286 Å
α = 90.00°, β = 90.00°, γ = 90.00°
Space group Pm (No. 6)
Asymmetric unit:
1 Ni 0.000 0.000 0.000 [1 per cell]
2 Ni 0.500 0.500 0.001 [1 per cell]
3 Te 0.001 0.500 0.269 [1 per cell]
4 Cl 0.501 0.000 0.749 [1 per cell]


Record 4
Crystalline Ni2Te3Cl at its relaxed geometry. Source: Alexandria via LeMat-Bulk, functional PBE-GGA.

Output
**E_form (uncorrected)**: -0.193 eV/atom
**Total magnetization**: 2.1 Bohr magnetons per cell

a = 7.7353 Å, b = 7.7353 Å, c = 5.2806 Å
α = 90.00°, β = 90.00°, γ = 120.00°
Space group P-3m1 (No. 164)
Asymmetric unit:
1 Ni 0.0000 0.0000 0.0000 [1 per cell]
2 Ni 0.0000 0.5000 0.0000 [3 per cell]
3 Te 0.1668 0.3335 0.7627 [6 per cell]
4 Cl 0.3333 0.6667 0.2695 [2 per cell]